A relaxed KCuP2 crystal, computed with PBE-GGA.

a = 4.7250 Å, b = 4.7250 Å, c = 4.7250 Å
α = 60.00°, β = 60.00°, γ = 60.00°
Element x y z (fractional)
P  0.2500  0.2500  0.2500
P  0.7500  0.7500  0.7500
Cu  0.5000  0.5000  0.5000
K  0.0000  0.0000  0.0000

E_form, meV/atom: 666
M_tot, μB per cell: 0.0
ρ, g/cm³: 3.66
Volume, Å³/cell: 75
E above lowest polymorph, eV/atom: 0.801